[1]
Zn2SeCl2O3, relaxed, DFT PBEsol; space group = P2_1/c, No. 14; N(E_F) = 0.0 states/eV/cell; formation energy without anion corrections = -8.75 eV per formula unit; total magnetization = 0.0 μB/f.u.
1.0
7.658 0.035 0.000
-1.239 7.513 0.000
0.000 0.000 10.269
Cl O Zn Se
8 12 8 4
direct
0.269 0.603 0.097
0.769 0.603 0.403
0.036 0.777 0.781
0.731 0.397 0.903
0.231 0.397 0.597
0.536 0.777 0.719
0.964 0.223 0.219
0.464 0.223 0.281
0.603 0.201 0.591
0.877 0.125 0.683
0.222 0.011 0.549
0.103 0.201 0.909
0.722 0.011 0.951
0.123 0.875 0.317
0.897 0.799 0.091
0.397 0.799 0.409
0.778 0.989 0.451
0.377 0.125 0.817
0.623 0.875 0.183
0.278 0.989 0.049
0.610 0.774 0.511
0.875 0.913 0.278
0.375 0.913 0.222
0.125 0.087 0.722
0.110 0.774 0.989
0.890 0.226 0.011
0.390 0.226 0.489
0.625 0.087 0.778
0.687 0.807 0.032
0.187 0.807 0.468
0.313 0.193 0.968
0.813 0.193 0.532



[2]
Li2TaW, relaxed, DFT PBEsol; space group = P4/mmm, No. 123; N(E_F) = 3.3 states/eV/cell; relative energy among the computed polymorphs = 0.380 eV per atom; calculated formation energy = 0.64 eV per atom; total magnetization = 0.0 μB/f.u.
1.0
-1.665 2.652 1.870
0.825 -1.687 3.126
4.139 2.440 0.225
Ta W Li
1 1 2
direct
0.500 0.500 0.500
0.000 0.000 0.500
0.500 0.000 0.000
0.000 0.500 0.000



[3]
InCo3As, relaxed, DFT PBEsol; space group = Pm-3m, No. 221; N(E_F) = 12.8 states/eV/cell; calculated formation energy = 1.68 eV per atom; total magnetization = 4.3 μB/f.u.
1.0
-1.159 1.691 -4.094
-2.496 -3.745 -0.840
-3.659 2.019 1.870
Co As In
3 1 1
direct
0.000 0.000 0.500
0.500 0.000 0.000
0.000 0.500 0.000
0.500 0.500 0.500
0.000 0.000 0.000



[4]
V5Se4, relaxed, DFT PBEsol; space group = I4/m, No. 87; N(E_F) = 6.5 states/eV/cell; formation energy without anion corrections = -6.40 eV per formula unit; total magnetization = 0.0 μB/f.u.
1.0
-1.488 -2.907 -0.127
3.566 -3.844 4.174
-4.607 0.308 4.858
V Se
5 4
direct
0.694 0.686 0.926
0.306 0.314 0.074
0.620 0.074 0.686
0.000 0.000 0.000
0.380 0.926 0.314
0.061 0.660 0.217
0.721 0.217 0.340
0.279 0.783 0.660
0.939 0.340 0.783